[1]
Here is SiTcRu after structural relaxation from Alexandria via LeMat-Bulk. Energies are from PBE-GGA.

Uncorrected energy: -101.8 eV per cell
Spin magnetization: 0.000 μB per atom
Energy relative to the lowest polymorph listed for this composition: 0.2558 eV/atom

a b c (Å): 4.182 5.652 7.672
angles (deg): 90.00 90.00 90.00
Atoms (fractional coordinates):
Tc (0.250, 0.549, 0.423)
Tc (0.750, 0.049, 0.077)
Tc (0.750, 0.451, 0.577)
Tc (0.250, 0.951, 0.923)
Si (0.750, 0.685, 0.855)
Si (0.750, 0.815, 0.355)
Si (0.250, 0.185, 0.645)
Si (0.250, 0.315, 0.145)
Ru (0.250, 0.019, 0.361)
Ru (0.750, 0.519, 0.139)
Ru (0.250, 0.481, 0.861)
Ru (0.750, 0.981, 0.639)



[2]
Here is OsCN2 after structural relaxation from Alexandria via LeMat-Bulk. Energies are from PBE-GGA.

Uncorrected energy: -65.5 eV per cell
Spin magnetization: 0.000 μB per atom

a b c (Å): 4.279 4.279 4.744
angles (deg): 63.19 63.19 90.00
Atoms (fractional coordinates):
C (0.250, 0.750, 0.500)
C (0.500, 0.500, 0.000)
Os (0.750, 0.250, 0.500)
Os (0.000, 0.000, 0.000)
N (0.228, 0.625, 0.250)
N (0.875, 0.772, 0.750)
N (0.522, 0.125, 0.250)
N (0.375, 0.478, 0.750)



[3]
Here is Ce4DyTh after structural relaxation from Alexandria via LeMat-Bulk. Energies are from PBE-GGA.

Uncorrected energy: -35.2 eV per cell
Spin magnetization: 0.000 μB per atom
Energy relative to the lowest polymorph listed for this composition: 0.0000 eV/atom

a b c (Å): 5.465 5.465 6.566
angles (deg): 89.98 89.98 62.28
Atoms (fractional coordinates):
Th (0.000, 0.000, 0.500)
Ce (0.347, 0.347, 0.715)
Ce (0.653, 0.653, 0.285)
Ce (0.653, 0.653, 0.715)
Ce (0.347, 0.347, 0.285)
Dy (0.000, 0.000, 0.000)



[4]
Here is KTl3Hg2 after structural relaxation from Alexandria via LeMat-Bulk. Energies are from PBE-GGA.

Uncorrected energy: -18.7 eV per cell
Spin magnetization: 0.000 μB per atom
Energy relative to the lowest polymorph listed for this composition: 0.0207 eV/atom

a b c (Å): 4.969 9.683 9.682
angles (deg): 60.30 75.13 75.13
Atoms (fractional coordinates):
Tl (0.327, 0.873, 0.473)
Tl (0.673, 0.127, 0.527)
Tl (0.000, 0.342, 0.658)
Tl (0.327, 0.473, 0.873)
Tl (0.673, 0.527, 0.127)
Tl (0.000, 0.658, 0.342)
Hg (0.813, 0.687, 0.687)
Hg (0.500, 0.846, 0.154)
Hg (0.500, 0.154, 0.846)
Hg (0.187, 0.313, 0.313)
K (0.866, 0.134, 0.134)
K (0.134, 0.866, 0.866)



[5]
Here is Nd2Dy2Ho5 after structural relaxation from Alexandria via LeMat-Bulk. Energies are from PBE-GGA.

Uncorrected energy: -39.5 eV per cell
Spin magnetization: 0.000 μB per atom
Energy relative to the lowest polymorph listed for this composition: 0.0175 eV/atom

a b c (Å): 3.486 8.204 12.531
angles (deg): 120.48 98.00 90.00
Atoms (fractional coordinates):
Nd (0.182, 0.219, 0.363)
Nd (0.818, 0.781, 0.637)
Dy (0.547, 0.739, 0.094)
Dy (0.453, 0.261, 0.906)
Ho (0.096, 0.458, 0.192)
Ho (0.000, 0.000, 0.000)
Ho (0.309, 0.149, 0.619)
Ho (0.904, 0.542, 0.808)
Ho (0.691, 0.851, 0.381)



[6]
Here is MnNi2Ge2 after structural relaxation from Alexandria via LeMat-Bulk. Energies are from PBE-GGA.

Uncorrected energy: -60.6 eV per cell
Spin magnetization: 0.669 μB per atom
Energy relative to the lowest polymorph listed for this composition: 0.0000 eV/atom

a b c (Å): 6.869 6.869 2.836
angles (deg): 90.00 90.00 90.00
Atoms (fractional coordinates):
Mn (0.500, 0.500, 0.000)
Mn (0.000, 0.000, 0.000)
Ge (0.169, 0.669, 0.500)
Ge (0.669, 0.831, 0.500)
Ge (0.331, 0.169, 0.500)
Ge (0.831, 0.331, 0.500)
Ni (0.629, 0.129, 0.000)
Ni (0.371, 0.871, 0.000)
Ni (0.129, 0.371, 0.000)
Ni (0.871, 0.629, 0.000)



[7]
Here is Ca2Cd5Hg3 after structural relaxation from Alexandria via LeMat-Bulk. Energies are from PBE-GGA.

Uncorrected energy: -24.0 eV per cell
Spin magnetization: 0.000 μB per atom
Energy relative to the lowest polymorph listed for this composition: 0.0000 eV/atom

a b c (Å): 4.862 7.566 13.985
angles (deg): 90.00 100.01 90.00
Atoms (fractional coordinates):
Ca (0.819, 0.189, 0.638)
Ca (0.181, 0.689, 0.362)
Ca (0.516, 0.292, 0.031)
Ca (0.484, 0.792, 0.969)
Hg (0.045, 0.006, 0.090)
Hg (0.229, 0.155, 0.458)
Hg (0.955, 0.506, 0.910)
Hg (0.389, 0.060, 0.778)
Hg (0.771, 0.655, 0.542)
Hg (0.611, 0.560, 0.222)
Cd (0.123, 0.272, 0.247)
Cd (0.056, 0.607, 0.112)
Cd (0.396, 0.464, 0.793)
Cd (0.604, 0.964, 0.207)
Cd (0.944, 0.107, 0.888)
Cd (0.293, 0.461, 0.585)
Cd (0.707, 0.961, 0.415)
Cd (0.877, 0.772, 0.753)
Cd (0.700, 0.359, 0.400)
Cd (0.300, 0.859, 0.600)



[8]
Here is HoInGa after structural relaxation from Alexandria via LeMat-Bulk. Energies are from PBE-GGA.

Uncorrected energy: -11.2 eV per cell
Spin magnetization: 0.000 μB per atom
Energy relative to the lowest polymorph listed for this composition: 0.1592 eV/atom

a b c (Å): 3.461 3.461 6.350
angles (deg): 105.82 105.82 90.00
Atoms (fractional coordinates):
Ga (0.662, 0.662, 0.324)
Ho (0.323, 0.323, 0.646)
In (0.015, 0.015, 0.030)